# 1
## TiVW (PBE-GGA)

Data for crystalline TiVW at its relaxed geometry.

As for the crystal system: tetragonal. The energy of formation is 10 meV/atom. The offset from the most stable computed form comes out at 0.09 eV/f.u.

The structure belongs to space group P4/nmm (No. 129, origin choice 2); the cell edges are 3.1294, 3.1294 and 9.4787 Å and the angles 90.00°, 90.00° and 90.00°. The distinct sites, in fractional coordinates, are Ti at (0.2500, 0.2500, 0.0986), V at (0.2500, 0.2500, 0.4186) and W at (0.2500, 0.2500, 0.7345).

---

# 2
## BeC2S (PBE-GGA)

Data for crystalline BeC2S at its relaxed geometry.

As for the crystal system: tetragonal. The calculation puts the uncorrected formation energy at 0.67 eV per atom. The offset from the most stable computed form comes out at 0.00 eV/f.u.

The structure belongs to space group I-42d (No. 122); the cell edges are 4.1905, 4.1905 and 8.0380 Å and the angles 90.00°, 90.00° and 90.00°. The distinct sites, in fractional coordinates, are Be at (0.0000, 0.0000, 0.0000), C at (0.2305, 0.2500, 0.6250) and S at (0.0000, 0.0000, 0.5000).

---

# 3
## ZrTa3As (PBE-GGA)

Data for crystalline ZrTa3As at its relaxed geometry.

As for the crystal system: cubic. The energy of formation is 580 meV/atom. The offset from the most stable computed form comes out at 0.00 eV/f.u.

The structure belongs to space group Pm-3m (No. 221); the cell edges are 4.7579, 4.7579 and 4.7579 Å and the angles 90.00°, 90.00° and 90.00°. The distinct sites, in fractional coordinates, are Zr at (0.0000, 0.0000, 0.0000), Ta at (0.0000, 0.5000, 0.5000) and As at (0.5000, 0.5000, 0.5000).

---

# 4
## HfNb14W (PBE-GGA)

Data for crystalline HfNb14W at its relaxed geometry.

As for the crystal system: orthorhombic. The energy of formation is 5 meV/atom.

The structure belongs to space group Cmmm (No. 65); the cell edges are 6.6341, 9.4460 and 9.3322 Å and the angles 90.00°, 90.00° and 90.00°. The distinct sites, in fractional coordinates, are Hf at (0.0000, 0.0000, 0.0000), Nb at (0.0000, 0.0000, 0.5000), Nb at (0.0000, 0.2471, 0.2480), Nb at (0.0000, 0.5000, 0.5000), Nb at (0.2413, 0.5000, 0.2511), Nb at (0.2500, 0.2500, 0.0000), Nb at (0.2500, 0.2500, 0.5000) and W at (0.0000, 0.5000, 0.0000).